No. 1
## LaGdDyHg (PBE)

Data for a relaxed LaGdDyHg crystal.

abc: 5.5281 5.5281 5.5281
angles: 60.00 60.00 60.00
Element x y z (fractional)
La1 0.0000 0.0000 0.0000
Gd1 0.5000 0.5000 0.5000
Dy1 0.2500 0.2500 0.2500
Hg1 0.7500 0.7500 0.7500

Calculated values
energy relative to the elements	-0.3	eV per formula unit

---

No. 2
## CaTaPb2 (PBE)

Data for a relaxed CaTaPb2 crystal.

abc: 4.9853 4.9853 4.0218
angles: 90.00 90.00 90.00
Element x y z (fractional)
Ca1 0.0000 0.0000 0.0000
Ta1 0.5000 0.5000 0.0000
Pb1 0.0000 0.5000 0.5000
Pb2 0.5000 0.0000 0.5000

Calculated values
energy relative to the elements	1.5	eV per formula unit

---

No. 3
## AcCoBiPd (PBE)

Data for a relaxed AcCoBiPd crystal.

abc: 5.0694 5.0694 5.0694
angles: 60.00 60.00 60.00
Element x y z (fractional)
Ac1 0.0000 0.0000 0.0000
Co1 0.7500 0.7500 0.7500
Bi1 0.5000 0.5000 0.5000
Pd1 0.2500 0.2500 0.2500

Calculated values
energy relative to the elements	-0.7	eV per formula unit

---

No. 4
## CaGa4CoNi2 (PBE)

Data for a relaxed CaGa4CoNi2 crystal.

abc: 9.3254 9.3254 9.3254
angles: 25.12 25.12 25.12
Element x y z (fractional)
Ca1 0.0000 0.0000 0.0000
Ga1 0.1336 0.1336 0.1336
Ga2 0.4069 0.4069 0.4069
Ga3 0.5931 0.5931 0.5931
Ga4 0.8664 0.8664 0.8664
Co1 0.5000 0.5000 0.5000
Ni1 0.2272 0.2272 0.2272
Ni2 0.7728 0.7728 0.7728

Calculated values
energy relative to the elements	-3.1	eV per formula unit

---

No. 5
## CsBaTl2Sb2 (PBE)

Data for a relaxed CsBaTl2Sb2 crystal.

abc: 5.6117 5.6117 9.1803
angles: 90.00 90.00 120.00
Element x y z (fractional)
Cs1 0.0000 0.0000 0.0000
Ba1 0.0000 0.0000 0.5000
Tl1 0.3333 0.6667 0.6688
Tl2 0.6667 0.3333 0.3312
Sb1 0.3333 0.6667 0.2917
Sb2 0.6667 0.3333 0.7083

Calculated values
raw formation energy	-255	kJ/mol of formula units

---

No. 6
## Ba2LaSi (PBE)

Data for a relaxed Ba2LaSi crystal.

abc: 9.7996 9.7996 9.7996
angles: 156.34 152.19 36.82
Element x y z (fractional)
Ba1 0.1552 0.1552 0.0000
Ba2 0.8448 0.8448 0.0000
La1 0.5000 0.0000 0.5000
Si1 0.0000 0.5000 0.5000

Calculated values
raw formation energy	-61	kJ/mol of formula units

---

No. 7
## RbBa2Au2 (PBE)

Data for a relaxed RbBa2Au2 crystal.

abc: 9.2540 9.2540 4.5048
angles: 90.00 90.00 90.00
Element x y z (fractional)
Rb1 0.0000 0.0000 0.0000
Rb2 0.5000 0.5000 0.0000
Ba1 0.1547 0.3453 0.5000
Ba2 0.3453 0.8453 0.5000
Ba3 0.6547 0.1547 0.5000
Ba4 0.8453 0.6547 0.5000
Au1 0.1286 0.6286 0.0000
Au2 0.3714 0.1286 0.0000
Au3 0.6286 0.8714 0.0000
Au4 0.8714 0.3714 0.0000

Calculated values
energy relative to the lowest polymorph listed for this composition	0	meV/atom
energy relative to the elements	-2.5	eV per formula unit

---

No. 8
## Ba12AlIn6 (PBE)

Data for a relaxed Ba12AlIn6 crystal.

abc: 10.2459 10.2459 10.2459
angles: 99.84 99.84 99.84
Element x y z (fractional)
Ba1 0.0542 0.9389 0.6807
Ba2 0.0611 0.3193 0.9458
Ba3 0.1774 0.5818 0.4331
Ba4 0.3193 0.9458 0.0611
Ba5 0.4182 0.5669 0.8226
Ba6 0.4331 0.1774 0.5818
Ba7 0.5669 0.8226 0.4182
Ba8 0.5818 0.4331 0.1774
Ba9 0.6807 0.0542 0.9389
Ba10 0.8226 0.4182 0.5669
Ba11 0.9389 0.6807 0.0542
Ba12 0.9458 0.0611 0.3193
Al1 0.0000 0.0000 0.0000
In1 0.1375 0.3000 0.6142
In2 0.3000 0.6142 0.1375
In3 0.3858 0.8625 0.7000
In4 0.6142 0.1375 0.3000
In5 0.7000 0.3858 0.8625
In6 0.8625 0.7000 0.3858

Calculated values
energy relative to the elements	-1.8	eV per formula unit

---

No. 9
## AgHgTe2 (PBE)

Data for a relaxed AgHgTe2 crystal.

abc: 11.4580 11.4580 11.4580
angles: 16.68 16.68 16.68
Element x y z (fractional)
Ag1 0.0000 0.0000 0.0000
Hg1 0.2669 0.2669 0.2669
Te1 0.5163 0.5163 0.5163
Te2 0.7351 0.7351 0.7351

Calculated values
raw formation energy	65	kJ/mol of formula units

---

No. 10
## Pu2CdTc (PBE)

Data for a relaxed Pu2CdTc crystal.

abc: 10.9873 10.9873 10.9873
angles: 16.66 16.66 16.66
Element x y z (fractional)
Pu1 0.1001 0.1001 0.1001
Pu2 0.8999 0.8999 0.8999
Cd1 0.0000 0.0000 0.0000
Tc1 0.5000 0.5000 0.5000

Calculated values
energy relative to the elements	1.1	eV per formula unit

---

No. 11
## AcPuPS (PBE)

Data for a relaxed AcPuPS crystal.

abc: 5.1149 5.1149 5.1149
angles: 60.00 60.00 60.00
Element x y z (fractional)
Ac1 0.0000 0.0000 0.0000
Pu1 0.5000 0.5000 0.5000
P1 0.7500 0.7500 0.7500
S1 0.2500 0.2500 0.2500

Calculated values
raw formation energy	-488	kJ/mol of formula units
energy relative to the lowest polymorph listed for this composition	337	meV/atom

---

No. 12
## Na2GaGe2 (PBE)

Data for a relaxed Na2GaGe2 crystal.

abc: 9.6699 9.6699 9.6699
angles: 158.16 158.16 31.08
Element x y z (fractional)
Na1 0.1058 0.1058 0.0000
Na2 0.8942 0.8942 0.0000
Ga1 0.5000 0.5000 0.0000
Ge1 0.2500 0.7500 0.5000
Ge2 0.7500 0.2500 0.5000

Calculated values
energy relative to the lowest polymorph listed for this composition	270	meV/atom
energy relative to the elements	0.7	eV per formula unit

---

No. 13
## SrAcZnO4 (PBE)

Data for a relaxed SrAcZnO4 crystal.

abc: 7.1728 7.1728 5.5424
angles: 90.00 90.00 134.61
Element x y z (fractional)
Sr1 0.1078 0.8922 0.7500
Sr2 0.8922 0.1078 0.2500
Ac1 0.3889 0.6111 0.7500
Ac2 0.6111 0.3889 0.2500
Zn1 0.2464 0.7536 0.2500
Zn2 0.7536 0.2464 0.7500
O1 0.0000 0.5000 0.0000
O2 0.0000 0.5000 0.5000
O3 0.0814 0.9186 0.2500
O4 0.4256 0.5744 0.2500
O5 0.5000 0.0000 0.0000
O6 0.5000 0.0000 0.5000
O7 0.5744 0.4256 0.7500
O8 0.9186 0.0814 0.7500

Calculated values
raw formation energy	-1576	kJ/mol of formula units

---

No. 14
## HfSnOs2 (PBE)

Data for a relaxed HfSnOs2 crystal.

abc: 9.5554 9.5554 9.5554
angles: 154.74 154.74 36.02
Element x y z (fractional)
Hf1 0.0000 0.0000 0.0000
Hf2 0.7500 0.2500 0.5000
Sn1 0.2500 0.7500 0.5000
Sn2 0.5000 0.5000 0.0000
Os1 0.0663 0.6250 0.9413
Os2 0.3750 0.3163 0.4413
Os3 0.6837 0.1250 0.0587
Os4 0.8750 0.9337 0.5587

Calculated values
energy relative to the elements	2.3	eV per formula unit

---

No. 15
## DyInNi2 (PBE)

Data for a relaxed DyInNi2 crystal.

abc: 4.5460 4.5460 3.3705
angles: 90.00 90.00 90.00
Element x y z (fractional)
Dy1 0.0000 0.0000 0.0000
In1 0.5000 0.5000 0.0000
Ni1 0.0000 0.5000 0.5000
Ni2 0.5000 0.0000 0.5000

Calculated values
energy relative to the elements	-1.0	eV per formula unit

---

No. 16
## SrVH3 (PBE)

Data for a relaxed SrVH3 crystal.

abc: 3.8742 3.8742 3.8742
angles: 90.00 90.00 90.00
Element x y z (fractional)
Sr1 0.0000 0.0000 0.0000
V1 0.5000 0.5000 0.5000
H1 0.0000 0.5000 0.5000
H2 0.5000 0.0000 0.5000
H3 0.5000 0.5000 0.0000

Calculated values
energy relative to the lowest polymorph listed for this composition	0	meV/atom

---

No. 17
## Mg2In2Fe (PBE)

Data for a relaxed Mg2In2Fe crystal.

abc: 7.0597 7.0597 4.3856
angles: 90.00 90.00 90.00
Element x y z (fractional)
Mg1 0.1648 0.3352 0.0000
Mg2 0.3352 0.8352 0.0000
Mg3 0.6648 0.1648 0.0000
Mg4 0.8352 0.6648 0.0000
In1 0.1482 0.6482 0.5000
In2 0.3518 0.1482 0.5000
In3 0.6482 0.8518 0.5000
In4 0.8518 0.3518 0.5000
Fe1 0.0000 0.0000 0.5000
Fe2 0.5000 0.5000 0.5000

Calculated values
energy relative to the elements	1.3	eV per formula unit

---

No. 18
## Sr3Zn2Hg2Au4 (PBE)

Data for a relaxed Sr3Zn2Hg2Au4 crystal.

abc: 4.7795 4.7795 14.6554
angles: 90.00 90.00 120.00
Element x y z (fractional)
Sr1 0.0000 0.0000 0.0000
Sr2 0.0000 0.0000 0.2707
Sr3 0.0000 0.0000 0.7293
Zn1 0.3333 0.6667 0.1446
Zn2 0.6667 0.3333 0.8554
Hg1 0.3333 0.6667 0.5694
Hg2 0.6667 0.3333 0.4306
Au1 0.3333 0.6667 0.3667
Au2 0.3333 0.6667 0.8677
Au3 0.6667 0.3333 0.1323
Au4 0.6667 0.3333 0.6333

Calculated values
energy relative to the elements	-5.4	eV per formula unit

---

No. 19
## LiTlCdSb (PBE)

Data for a relaxed LiTlCdSb crystal.

abc: 5.2255 5.2255 5.2255
angles: 60.00 60.00 60.00
Element x y z (fractional)
Li1 0.0000 0.0000 0.0000
Tl1 0.2500 0.2500 0.2500
Cd1 0.5000 0.5000 0.5000
Sb1 0.7500 0.7500 0.7500

Calculated values
raw formation energy	-51	kJ/mol of formula units

---

No. 20
## CuSb2Pt (PBE)

Data for a relaxed CuSb2Pt crystal.

abc: 3.9259 3.9259 6.6953
angles: 106.28 106.28 58.73
Element x y z (fractional)
Cu1 0.0000 0.0000 0.0000
Sb1 0.2481 0.2481 0.7466
Sb2 0.7519 0.7519 0.2534
Pt1 0.5000 0.5000 0.5000

Calculated values
raw formation energy	-40	kJ/mol of formula units

---

No. 21
## Ba2Sm3Se6 (PBE)

Data for a relaxed Ba2Sm3Se6 crystal.

abc: 7.4058 7.4058 7.9705
angles: 98.87 98.87 119.96
Element x y z (fractional)
Ba1 0.1672 0.8328 0.0000
Ba2 0.8328 0.1672 0.0000
Sm1 0.0000 0.0000 0.5000
Sm2 0.3348 0.6652 0.5000
Sm3 0.6652 0.3348 0.5000
Se1 0.0710 0.4051 0.7159
Se2 0.2601 0.2601 0.2818
Se3 0.4051 0.0710 0.7159
Se4 0.5949 0.9290 0.2841
Se5 0.7399 0.7399 0.7182
Se6 0.9290 0.5949 0.2841

Calculated values
raw formation energy	-2061	kJ/mol of formula units

---

No. 22
## MnTlOs (PBE)

Data for a relaxed MnTlOs crystal.

abc: 6.1947 6.1947 6.1947
angles: 152.75 152.75 38.92
Element x y z (fractional)
Mn1 0.0000 0.0000 0.0000
Tl1 0.6855 0.6855 0.0000
Os1 0.3795 0.3795 0.0000

Calculated values
energy relative to the elements	1.7	eV per formula unit

---

No. 23
## Si2OsPb (PBE)

Data for a relaxed Si2OsPb crystal.

abc: 4.2176 4.2176 5.9695
angles: 101.74 101.74 50.98
Element x y z (fractional)
Si1 0.2174 0.2174 0.1298
Si2 0.7826 0.7826 0.8702
Os1 0.5000 0.5000 0.0000
Pb1 0.0000 0.0000 0.5000

Calculated values
raw formation energy	77	kJ/mol of formula units

---

No. 24
## CsNa2ReI8 (PBE)

Data for a relaxed CsNa2ReI8 crystal.

abc: 6.7552 7.4228 10.5816
angles: 90.05 90.28 93.09
Element x y z (fractional)
Cs1 0.0000 0.0000 0.0000
Na1 0.5004 0.4997 0.2786
Na2 0.4996 0.5003 0.7214
Re1 0.0000 0.0000 0.5000
I1 0.2297 0.8600 0.3159
I2 0.2308 0.3189 0.4993
I3 0.2323 0.8625 0.6852
I4 0.2509 0.4958 0.0000
I5 0.7491 0.5042 0.0000
I6 0.7677 0.1375 0.3148
I7 0.7692 0.6811 0.5007
I8 0.7703 0.1400 0.6841

Calculated values
raw formation energy	-674	kJ/mol of formula units

---

No. 25
## TlAs4P (PBE)

Data for a relaxed TlAs4P crystal.

abc: 5.8196 5.8196 5.8196
angles: 60.00 60.00 60.00
Element x y z (fractional)
Tl1 0.0000 0.0000 0.0000
As1 0.1680 0.6107 0.6107
As2 0.6107 0.1680 0.6107
As3 0.6107 0.6107 0.1680
As4 0.6107 0.6107 0.6107
P1 0.2500 0.2500 0.2500

Calculated values
energy relative to the elements	3.3	eV per formula unit

---

No. 26
## CaAgOs (PBE)

Data for a relaxed CaAgOs crystal.

abc: 4.6261 4.6261 4.6261
angles: 60.00 60.00 60.00
Element x y z (fractional)
Ca1 0.0000 0.0000 0.0000
Ag1 0.5000 0.5000 0.5000
Os1 0.7500 0.7500 0.7500

Calculated values
energy relative to the lowest polymorph listed for this composition	517	meV/atom
energy relative to the elements	3.2	eV per formula unit